(1)
A geometry-optimized RbMnGa2 structure, computed with PBE.

Results
- Calculated density: 5.393 g cm⁻³
- D(E_F): 11.47 states/eV/f.u.
- Electronic total energy: -2.9765 eV per atom
- Size of the total moment: 0.139 μB/atom

Cell lengths 4.958, 4.958, 4.958 Å; angles 60.00, 60.00, 60.00 degrees
Positions (direct):
Rb: 0.000 0.000 0.000
Mn: 0.500 0.500 0.500
Ga: 0.250 0.250 0.250
Ga: 0.750 0.750 0.750



(2)
A geometry-optimized CaSn3S structure, computed with PBE.

Results
- Calculated density: 4.602 g cm⁻³
- E above lowest polymorph: 0.0 meV/atom
- D(E_F): 2.05 states/eV/f.u.
- Electronic total energy: -3.6881 eV per atom
- Size of the total moment: 0.000 μB/atom
- ΔE_f (raw): -61 meV per atom

Cell lengths 5.366, 5.366, 5.366 Å; angles 90.00, 90.00, 90.00 degrees
Positions (direct):
Ca: 0.000 0.000 0.000
Sn: 0.000 0.500 0.500
Sn: 0.500 0.000 0.500
Sn: 0.500 0.500 0.000
S: 0.500 0.500 0.500



(3)
A geometry-optimized RbSnHg2Br8 structure, computed with PBE.

Results
- Calculated density: 4.163 g cm⁻³
- D(E_F): 6.25 states/eV/f.u.
- Electronic total energy: -2.2912 eV per atom
- Size of the total moment: 0.000 μB/atom
- ΔE_f (raw): -711 meV per atom

Cell lengths 6.954, 7.864, 9.899 Å; angles 112.53, 93.53, 94.15 degrees
Positions (direct):
Rb: 0.000 0.000 0.000
Sn: 0.000 0.000 0.500
Hg: 0.444 0.262 0.797
Hg: 0.556 0.738 0.203
Br: 0.164 0.790 0.239
Br: 0.233 0.869 0.667
Br: 0.289 0.309 0.570
Br: 0.440 0.291 0.064
Br: 0.560 0.709 0.936
Br: 0.711 0.691 0.430
Br: 0.767 0.131 0.333
Br: 0.836 0.210 0.761



(4)
A geometry-optimized Nd2AlTlGe structure, computed with PBE.

Results
- Calculated density: 6.951 g cm⁻³
- D(E_F): 2.84 states/eV/f.u.
- Electronic total energy: -4.4798 eV per atom
- Size of the total moment: 0.000 μB/atom

Cell lengths 7.403, 4.317, 9.193 Å; angles 90.00, 105.56, 90.00 degrees
Positions (direct):
Nd: 0.201 0.250 0.407
Nd: 0.253 0.250 0.980
Nd: 0.747 0.750 0.020
Nd: 0.799 0.750 0.593
Al: 0.477 0.750 0.265
Al: 0.523 0.250 0.735
Tl: 0.279 0.750 0.697
Tl: 0.721 0.250 0.303
Ge: 0.141 0.750 0.171
Ge: 0.859 0.250 0.829